This record from the Alexandria database describes a relaxed structure of CuNi6Sn2. The functional is PBE.

a b c (Å): 5.5379 5.1469 5.1469
angles (deg): 57.54 82.12 82.12
Last column: nearest neighbours and their distance in Å.
Sites, in units of the cell vectors:
Cu (0.0000, 0.0000, 0.0000)  6 Ni 2.35-2.41
Ni (0.6285, 0.1799, 0.1799)  1 Cu 2.41, 6 Ni 2.46-2.68
Ni (0.3082, 0.3438, 0.8223)  1 Cu 2.35, 5 Ni 2.37-2.58
Ni (0.6918, 0.1777, 0.6562)  1 Cu 2.35, 5 Ni 2.37-2.58
Ni (0.6918, 0.6562, 0.1777)  1 Cu 2.35, 5 Ni 2.37-2.58
Ni (0.3082, 0.8223, 0.3438)  1 Cu 2.35, 5 Ni 2.37-2.58
Ni (0.3715, 0.8201, 0.8201)  1 Cu 2.41, 6 Ni 2.46-2.68
Sn (0.8307, 0.6626, 0.6626)  9 Ni 2.64-2.88, 2 Cu 2.96
Sn (0.1693, 0.3374, 0.3374)  9 Ni 2.64-2.88, 2 Cu 2.96

Output
As for the crystal system: monoclinic. As for the formation energy: 29 meV/atom.

=====

This record from the Alexandria database describes a relaxed structure of ReRu. The functional is PBE.

a b c (Å): 4.1614 4.1615 5.4584
angles (deg): 90.00 90.00 120.00
Last column: nearest neighbours and their distance in Å.
Sites, in units of the cell vectors:
Re (0.3333, 0.6667, 0.7586)  4 Ru 2.38-2.43
Re (0.6667, 0.3333, 0.2586)  4 Ru 2.38-2.43
Ru (0.6667, 0.3333, 0.8234)  4 Re 2.38-2.43
Ru (0.3333, 0.6667, 0.3234)  4 Re 2.38-2.43

Output
As for the crystal system: hexagonal. As for the formation energy: 1311 meV/atom.

=====

This record from the Alexandria database describes a relaxed structure of MnSbIr3. The functional is PBE.

a b c (Å): 4.5263 4.5263 4.5263
angles (deg): 90.00 90.00 90.00
Last column: nearest neighbours and their distance in Å.
Sites, in units of the cell vectors:
Mn (0.0000, 0.0000, 0.0000)  6 Ir 2.26
Sb (0.5000, 0.5000, 0.5000)  12 Ir 3.20
Ir (0.0000, 0.0000, 0.5000)  2 Mn 2.26
Ir (0.0000, 0.5000, 0.0000)  2 Mn 2.26
Ir (0.5000, 0.0000, 0.0000)  2 Mn 2.26

Output
The value obtained for the excess energy over the best structure of this formula in the dataset is 0.000 eV per atom. The uncorrected formation energy comes out at 1.138 eV/atom. As for the crystal system: cubic.

=====

This record from the Alexandria database describes a relaxed structure of In2RePt. The functional is PBE.

a b c (Å): 4.6488 4.6488 4.6488
angles (deg): 60.00 60.00 60.00
Last column: nearest neighbours and their distance in Å.
Sites, in units of the cell vectors:
Re (0.0000, 0.0000, 0.0000)  8 In 2.85
In (0.7500, 0.7500, 0.7500)  4 Pt 2.85, 4 Re 2.85
In (0.2500, 0.2500, 0.2500)  4 Pt 2.85, 4 Re 2.85
Pt (0.5000, 0.5000, 0.5000)  8 In 2.85

Output
The value obtained for the excess energy over the best structure of this formula in the dataset is 0.119 eV per atom. As for the crystal system: cubic. As for the formation energy: 275 meV/atom.